Record 1
## KHgAs2Br (PBEsol)

Data for a geometry-optimized KHgAs2Br structure.

Results
* raw total energy: -1.85 eV/atom
* total magnetization: 1.198 μB per atom

Unit cell a=6.853 b=6.853 c=5.882 alpha=90.00 beta=90.00 gamma=90.00
Space group P4/mmm (No. 123)
Asymmetric unit:
K  0.000  0.000  0.000 (multiplicity 1)
Hg  0.500  0.500  0.500 (multiplicity 1)
As  0.000  0.500  0.000 (multiplicity 2)
Br  0.000  0.000  0.500 (multiplicity 1)

---

Record 2
## K2DyAgCl6 (PBEsol)

Data for a geometry-optimized K2DyAgCl6 structure.

Results
* raw total energy: -4.01 eV/atom
* total magnetization: 0.000 μB per atom

Unit cell a=10.457 b=10.457 c=10.457 alpha=90.00 beta=90.00 gamma=90.00
Space group Fm-3m (No. 225)
Asymmetric unit:
K  0.250  0.250  0.250 (multiplicity 8)
Dy  0.000  0.000  0.000 (multiplicity 4)
Ag  0.000  0.000  0.500 (multiplicity 4)
Cl  0.000  0.000  0.248 (multiplicity 24)

---

Record 3
## Ti2NbGaW (PBEsol)

Data for a geometry-optimized Ti2NbGaW structure.

Results
* total magnetization: 0.000 μB per atom
* energy relative to the elements: 1.062 eV/atom

Unit cell a=4.519 b=4.519 c=4.644 alpha=90.00 beta=90.00 gamma=90.00
Space group P4/mmm (No. 123)
Asymmetric unit:
Ti  0.000  0.500  0.000 (multiplicity 2)
Nb  0.000  0.000  0.500 (multiplicity 1)
Ga  0.500  0.500  0.000 (multiplicity 1)
W  0.500  0.500  0.500 (multiplicity 1)

---

Record 4
## TlCd2 (PBEsol)

Data for a geometry-optimized TlCd2 structure.

Results
* total magnetization: 0.000 μB per atom
* energy relative to the elements: 0.049 eV/atom

Unit cell a=3.262 b=3.262 c=13.273 alpha=90.00 beta=90.00 gamma=90.00
Space group I4/mmm (No. 139)
Asymmetric unit:
Tl  0.000  0.000  0.000 (multiplicity 2)
Cd  0.000  0.000  0.324 (multiplicity 4)

---

Record 5
## CaLaI5 (PBEsol)

Data for a geometry-optimized CaLaI5 structure.

Results
* total magnetization: 0.000 μB per atom
* E above lowest polymorph: 0.000 eV/atom

Unit cell a=4.377 b=14.309 c=18.742 alpha=90.00 beta=90.00 gamma=90.00
Space group Cmcm (No. 63)
Asymmetric unit:
Ca  0.000  0.010  0.250 (multiplicity 4)
La  0.000  0.500  0.000 (multiplicity 4)
I  0.000  0.137  0.058 (multiplicity 8)
I  0.000  0.342  0.750 (multiplicity 4)
I  0.000  0.400  0.149 (multiplicity 8)

---

Record 6
## AlCo2As (PBEsol)

Data for a geometry-optimized AlCo2As structure.

Results
* total magnetization: 0.377 μB per atom
* E above lowest polymorph: 0.000 eV/atom
* energy relative to the elements: -0.268 eV/atom

Unit cell a=2.902 b=2.902 c=5.665 alpha=90.00 beta=90.00 gamma=90.00
Space group P4/mmm (No. 123)
Asymmetric unit:
Al  0.000  0.000  0.000 (multiplicity 1)
Co  0.500  0.500  0.253 (multiplicity 2)
As  0.000  0.000  0.500 (multiplicity 1)

---

Record 7
## Be3GaAu (PBEsol)

Data for a geometry-optimized Be3GaAu structure.

Results
* total magnetization: 0.000 μB per atom
* E above lowest polymorph: 0.000 eV/atom
* energy relative to the elements: 0.533 eV/atom

Unit cell a=4.345 b=4.345 c=4.345 alpha=90.00 beta=90.00 gamma=90.00
Space group Pm-3m (No. 221)
Asymmetric unit:
Be  0.000  0.000  0.500 (multiplicity 3)
Ga  0.500  0.500  0.500 (multiplicity 1)
Au  0.000  0.000  0.000 (multiplicity 1)

---

Record 8
## Mg2NbN3 (PBEsol)

Data for a geometry-optimized Mg2NbN3 structure.

Results
* total magnetization: 0.000 μB per atom
* E above lowest polymorph: 0.009 eV/atom

Unit cell a=9.484 b=6.167 c=5.706 alpha=90.00 beta=117.69 gamma=90.00
Space group C2/c (No. 15)
Asymmetric unit:
Mg  0.165  0.081  0.077 (multiplicity 8)
Nb  0.000  0.411  0.250 (multiplicity 4)
N  0.000  0.098  0.250 (multiplicity 4)
N  0.157  0.430  0.075 (multiplicity 8)

---

Record 9
## CuSeNO2 (PBEsol)

Data for a geometry-optimized CuSeNO2 structure.

Results
* raw total energy: -4.73 eV/atom
* total magnetization: 0.204 μB per atom

Unit cell a=3.719 b=3.719 c=3.815 alpha=90.00 beta=90.00 gamma=90.00
Space group P4/mmm (No. 123)
Asymmetric unit:
Cu  0.000  0.000  0.000 (multiplicity 1)
Se  0.500  0.500  0.500 (multiplicity 1)
N  0.500  0.500  0.000 (multiplicity 1)
O  0.000  0.500  0.500 (multiplicity 2)

---

Record 10
## SiNi2Se (PBEsol)

Data for a geometry-optimized SiNi2Se structure.

Results
* raw total energy: -5.51 eV/atom
* total magnetization: 0.000 μB per atom

Unit cell a=4.070 b=4.070 c=6.131 alpha=90.00 beta=90.00 gamma=90.00
Space group I4/mmm (No. 139)
Asymmetric unit:
Si  0.000  0.000  0.000 (multiplicity 2)
Ni  0.000  0.500  0.250 (multiplicity 4)
Se  0.000  0.000  0.500 (multiplicity 2)

---

Record 11
## LiCd2AsAu (PBEsol)

Data for a geometry-optimized LiCd2AsAu structure.

Results
* total magnetization: 0.000 μB per atom
* energy relative to the elements: 0.413 eV/atom

Unit cell a=4.702 b=4.702 c=4.422 alpha=90.00 beta=90.00 gamma=90.00
Space group P4/mmm (No. 123)
Asymmetric unit:
Li  0.000  0.000  0.000 (multiplicity 1)
Cd  0.000  0.500  0.000 (multiplicity 2)
As  0.500  0.500  0.500 (multiplicity 1)
Au  0.000  0.000  0.500 (multiplicity 1)

---

Record 12
## TcIr3 (PBEsol)

Data for a geometry-optimized TcIr3 structure.

Results
* total magnetization: 0.000 μB per atom
* energy relative to the elements: -0.091 eV/atom

Unit cell a=2.7007 b=2.7007 c=26.6002 alpha=90.00 beta=90.00 gamma=120.00
Space group R-3m (No. 166, hexagonal axes)
Asymmetric unit:
Tc  0.0000  0.0000  0.0000 (multiplicity 3)
Ir  0.0000  0.0000  0.2514 (multiplicity 6)
Ir  0.0000  0.0000  0.5000 (multiplicity 3)